No. 1
VASP calculation (GGA-PBEsol) on an optimized crystal structure of Bi2Pt2I.

POSCAR file:
```
Bi2Pt2I
1.0
-1.972 1.972 8.355
1.972 -1.972 8.355
1.972 1.972 -8.355
Bi Pt I
2 2 1
Direct
0.134 0.134 0.000
0.866 0.866 0.000
0.250 0.750 0.500
0.750 0.250 0.500
0.500 0.500 0.000
```

Output
E_tot, eV per atom: -5.111
Energy relative to the elements, uncorrected, eV per atom: -0.26
Mass density, g/cm³: 12.0
Crystal system: tetragonal
Symmetry: I4/mmm, No. 139

No. 2
VASP calculation (GGA-PBEsol) on an optimized crystal structure of RbCoGeIr2.

POSCAR file:
```
RbCoGeIr2
1.0
4.659 0.000 0.000
0.000 4.659 0.000
0.000 0.000 4.581
Rb Co Ge Ir
1 1 1 2
Direct
0.000 0.000 0.000
0.500 0.500 0.000
0.500 0.500 0.500
0.000 0.500 0.500
0.500 0.000 0.500
```

Output
E_tot, eV per atom: -5.549
Mass density, g/cm³: 10.0
Formation energy, meV per atom: 1120.2
Crystal system: tetragonal
Symmetry: P4/mmm, No. 123

> Which of these has the highest mass density?

Bi2Pt2I